# 1
Computed, not measured: an optimized crystal structure of NbI2NO at the GGA-PBE level of DFT.

**Symmetry**: No. 123

a = 4.8763 Å, b = 4.8763 Å, c = 3.7109 Å
α = 90.00°, β = 90.00°, γ = 90.00°
Positions (direct):
Nb: 0.0000 0.0000 0.0000
I: 0.0000 0.5000 0.5000
I: 0.5000 0.0000 0.5000
N: 0.5000 0.5000 0.0000
O: 0.5000 0.5000 0.5000

***

# 2
Computed, not measured: an optimized crystal structure of NbIN2O at the GGA-PBE level of DFT.

**Symmetry**: No. 123

a = 4.2745 Å, b = 4.2745 Å, c = 3.9159 Å
α = 90.00°, β = 90.00°, γ = 90.00°
Positions (direct):
Nb: 0.0000 0.0000 0.0000
I: 0.5000 0.5000 0.5000
N: 0.0000 0.5000 0.0000
N: 0.5000 0.0000 0.0000
O: 0.0000 0.0000 0.5000

***

# 3
Computed, not measured: an optimized crystal structure of NbI2NO at the GGA-PBE level of DFT.

**Symmetry**: No. 123

a = 4.9635 Å, b = 4.9635 Å, c = 3.6111 Å
α = 90.00°, β = 90.00°, γ = 90.00°
Positions (direct):
Nb: 0.0000 0.0000 0.0000
I: 0.0000 0.5000 0.5000
I: 0.5000 0.0000 0.5000
N: 0.5000 0.5000 0.5000
O: 0.5000 0.5000 0.0000

***

no.,uncorrected formation energy (eV/atom),V (Å³ per atom),VASP energy (eV/atom)
1,1.5137,17.65,-3.777
2,0.1881,14.31,-6.458
3,1.2422,17.79,-4.048